Record 1
Computed, not measured: an optimized crystal structure of Cs2Ni3RhF12 at the PBE+U level of DFT.

Properties
- Spin magnetization: 6.51 μB per formula unit
- E: -4.3536 eV/atom
- Mass density: 4.445 Mg/m³

Structure (POSCAR):
```
Cs2Ni3RhF12
1.0
3.670 2.119 6.187
-3.670 2.119 6.187
0.000 -4.238 6.187
Cs Ni Rh F
2 3 1 12
Direct
0.114 0.114 0.114
0.886 0.886 0.886
0.000 0.500 0.500
0.500 0.000 0.500
0.500 0.500 0.000
0.500 0.500 0.500
0.181 0.181 0.572
0.181 0.572 0.181
0.182 0.574 0.574
0.426 0.426 0.818
0.426 0.818 0.426
0.428 0.819 0.819
0.572 0.181 0.181
0.574 0.182 0.574
0.574 0.574 0.182
0.818 0.426 0.426
0.819 0.428 0.819
0.819 0.819 0.428
```

---

Record 2
Computed, not measured: an optimized crystal structure of CsNiSbF2 at the PBE+U level of DFT.

Properties
- Spin magnetization: 0.13 μB per formula unit
- E: -2.5279 eV/atom
- Mass density: 3.848 Mg/m³

Structure (POSCAR):
```
CsNiSbF2
1.0
4.395 0.000 0.000
0.000 4.395 0.000
0.000 0.000 7.851
Cs Ni Sb F
1 1 1 2
Direct
0.000 0.000 0.000
0.500 0.500 0.000
0.000 0.000 0.500
0.000 0.500 0.500
0.500 0.000 0.500
```

---

Which of these has the highest mass density?
Cs2Ni3RhF12

---

Which of these has the highest E?
CsNiSbF2